No. 1
A crystal of BiI relaxed with PBEsol. Source: Alexandria, functional SCAN.

POSCAR file:
```
BiI
1.0
4.350 0.000 0.000
-2.175 7.256 0.198
0.000 -1.718 19.895
I Bi
8 8
direct
0.369 0.737 0.941 I
0.607 0.214 0.637 I
0.631 0.263 0.059 I
0.360 0.720 0.149 I
0.886 0.771 0.562 I
0.114 0.229 0.438 I
0.393 0.786 0.363 I
0.640 0.280 0.851 I
0.304 0.607 0.760 Bi
0.004 0.007 0.895 Bi
0.750 0.499 0.391 Bi
0.054 0.108 0.255 Bi
0.996 0.993 0.105 Bi
0.696 0.393 0.240 Bi
0.946 0.892 0.745 Bi
0.250 0.501 0.609 Bi
```

**Space group**: C2/m

---

No. 2
A crystal of Bi4I relaxed with PBEsol. Source: Alexandria, functional SCAN.

POSCAR file:
```
Bi4I
1.0
4.404 0.000 0.000
-2.202 12.839 -0.060
0.000 -3.409 12.793
I Bi
4 16
direct
0.269 0.539 0.865 I
0.731 0.461 0.135 I
0.819 0.638 0.614 I
0.181 0.362 0.386 I
0.921 0.842 0.121 Bi
0.628 0.256 0.631 Bi
0.115 0.230 0.118 Bi
0.789 0.579 0.373 Bi
0.466 0.931 0.872 Bi
0.372 0.744 0.369 Bi
0.985 0.970 0.379 Bi
0.341 0.681 0.130 Bi
0.079 0.158 0.879 Bi
0.015 0.030 0.621 Bi
0.435 0.870 0.631 Bi
0.885 0.770 0.882 Bi
0.565 0.130 0.369 Bi
0.534 0.069 0.128 Bi
0.659 0.319 0.870 Bi
0.211 0.421 0.627 Bi
```

**Space group**: C2/m

---

No. 3
A crystal of Bi9I2 relaxed with PBEsol. Source: Alexandria, functional SCAN.

POSCAR file:
```
Bi9I2
1.0
-3.702 -2.088 1.195
-2.198 -3.349 -12.655
8.037 -9.850 7.687
Bi I
18 4
direct
0.250 0.805 0.749 Bi
0.750 0.298 0.722 Bi
0.250 0.241 0.984 Bi
0.250 0.439 0.927 Bi
0.750 0.759 0.016 Bi
0.750 0.195 0.251 Bi
0.750 0.925 0.896 Bi
0.250 0.877 0.163 Bi
0.750 0.561 0.073 Bi
0.750 0.494 0.665 Bi
0.750 0.820 0.429 Bi
0.750 0.123 0.837 Bi
0.250 0.180 0.571 Bi
0.250 0.075 0.104 Bi
0.250 0.506 0.335 Bi
0.750 0.388 0.188 Bi
0.250 0.612 0.812 Bi
0.250 0.702 0.278 Bi
0.250 0.981 0.627 I
0.750 0.019 0.373 I
0.250 0.338 0.464 I
0.750 0.662 0.536 I
```

**Space group**: P2_1/m

---

No. 4
A crystal of InBi2I relaxed with PBEsol. Source: Alexandria, functional SCAN.

POSCAR file:
```
InBi2I
1.0
-2.245 -4.551 -2.090
3.136 -4.386 -1.025
-0.477 -4.500 3.105
Bi I In
2 1 1
direct
0.250 0.250 0.250 Bi
0.750 0.750 0.750 Bi
0.500 0.500 0.500 I
0.000 0.000 0.000 In
```

**Space group**: Fm-3m

---

No. 5
A crystal of InBiI2N relaxed with PBEsol. Source: Alexandria, functional SCAN.

POSCAR file:
```
InBiI2N
1.0
-3.135 -2.170 0.852
1.418 0.257 5.869
-3.316 5.019 0.581
Bi In I N
1 1 2 1
direct
0.500 0.500 0.500 Bi
0.000 0.000 0.000 In
0.000 0.500 0.000 I
0.000 0.000 0.500 I
0.500 0.000 0.000 N
```

**Space group**: P4/mmm

---

No. 6
A crystal of In2Bi3Se7I relaxed with PBEsol. Source: Alexandria, functional SCAN.

POSCAR file:
```
In2Bi3Se7I
1.0
-1.853 2.380 2.793
-10.336 1.774 -8.371
-11.998 -21.408 10.278
In Se Bi I
8 28 12 4
direct
0.750 0.416 0.964 In
0.250 0.964 0.947 In
0.750 0.084 0.464 In
0.250 0.916 0.536 In
0.250 0.584 0.036 In
0.750 0.036 0.053 In
0.750 0.464 0.553 In
0.250 0.536 0.447 In
0.250 0.875 0.242 Se
0.750 0.248 0.912 Se
0.250 0.376 0.511 Se
0.750 0.375 0.258 Se
0.250 0.386 0.027 Se
0.750 0.886 0.473 Se
0.750 0.521 0.119 Se
0.250 0.050 0.861 Se
0.250 0.890 0.730 Se
0.750 0.614 0.973 Se
0.750 0.390 0.770 Se
0.750 0.252 0.412 Se
0.750 0.110 0.270 Se
0.250 0.124 0.011 Se
0.750 0.624 0.489 Se
0.250 0.114 0.527 Se
0.750 0.979 0.619 Se
0.250 0.450 0.361 Se
0.250 0.021 0.381 Se
0.750 0.876 0.989 Se
0.250 0.752 0.088 Se
0.250 0.748 0.588 Se
0.750 0.125 0.758 Se
0.250 0.479 0.881 Se
0.250 0.625 0.742 Se
0.750 0.950 0.139 Se
0.750 0.550 0.639 Se
0.250 0.610 0.230 Se
0.750 0.576 0.816 Bi
0.250 0.424 0.184 Bi
0.750 0.790 0.658 Bi
0.250 0.290 0.842 Bi
0.250 0.443 0.693 Bi
0.250 0.210 0.342 Bi
0.250 0.057 0.193 Bi
0.750 0.557 0.307 Bi
0.250 0.076 0.684 Bi
0.750 0.943 0.807 Bi
0.750 0.924 0.316 Bi
0.750 0.710 0.158 Bi
0.250 0.765 0.865 I
0.250 0.735 0.365 I
0.750 0.235 0.135 I
0.750 0.265 0.635 I
```

**Space group**: Pnma

---

No. 7
A crystal of InBiTe2I relaxed with PBEsol. Source: Alexandria, functional SCAN.

POSCAR file:
```
InBiTe2I
1.0
-5.657 0.023 1.541
1.533 -0.510 5.636
0.162 6.049 0.503
In Bi I Te
1 1 1 2
direct
0.500 0.500 0.500 In
0.000 0.000 0.000 Bi
0.000 0.000 0.500 I
0.000 0.500 0.000 Te
0.500 0.000 0.000 Te
```

**Space group**: P4/mmm

---

No. 8
A crystal of InBiTeI2 relaxed with PBEsol. Source: Alexandria, functional SCAN.

POSCAR file:
```
InBiTeI2
1.0
6.054 0.000 0.000
0.000 6.054 0.000
0.000 0.000 5.907
I Bi Te In
2 1 1 1
direct
0.000 0.500 0.000 I
0.500 0.000 0.000 I
0.000 0.000 0.000 Bi
0.000 0.000 0.500 Te
0.500 0.500 0.500 In
```

**Space group**: P4/mmm

---

no.,uncorrected energy (eV/atom)
1,-57.8684
2,-70.2805
3,-71.0364
4,-56.5433
5,-38.3040
6,-37.3377
7,-44.4861
8,-44.5873